No. 1
A plane-wave DFT calculation with GGA-PBE was carried out for a geometry-optimized Lu2TiTl structure.

Computed properties:
density of states at the Fermi level	4.22	states/eV per cell
crystal system	trigonal
ΔE_f	0.02	eV/atom
spin magnetization	0.0	μB/f.u.
ΔE to the lowest computed polymorph	0.0744	eV per atom

Cell lengths 3.3703, 3.3703, 10.3760 Å; angles 80.65, 80.65, 60.00 degrees
Last column: nearest neighbours and their distance in Å.
Fractional positions:
Ti1 0.0000 0.0000 0.0000  6 Lu 3.11, 6 Ti 3.37
Lu1 0.7460 0.7460 0.7620  3 Ti 3.11, 3 Tl 3.30, 6 Lu 3.37
Tl1 0.5000 0.5000 0.5000  6 Lu 3.30, 6 Tl 3.37
Lu2 0.2540 0.2540 0.2380  3 Ti 3.11, 3 Tl 3.30, 6 Lu 3.37

No. 2
A plane-wave DFT calculation with GGA-PBE was carried out for a geometry-optimized Lu2TiTl structure.

Computed properties:
density of states at the Fermi level	3.31	states/eV per cell
crystal system	tetragonal
ΔE_f	-0.03	eV/atom
spin magnetization	2.5	μB/f.u.
ΔE to the lowest computed polymorph	0.0228	eV per atom

Cell lengths 4.3869, 4.7067, 4.7067 Å; angles 90.00, 90.00, 90.00 degrees
Last column: nearest neighbours and their distance in Å.
Fractional positions:
Lu1 0.0000 0.0000 0.5000  4 Tl 3.22, 4 Ti 3.22, 4 Lu 3.33
Tl1 0.5000 0.5000 0.5000  8 Lu 3.22, 4 Ti 3.33
Ti1 0.5000 0.0000 0.0000  8 Lu 3.22, 4 Tl 3.33
Lu2 0.0000 0.5000 0.0000  4 Tl 3.22, 4 Ti 3.22, 4 Lu 3.33

No. 3
A plane-wave DFT calculation with GGA-PBE was carried out for a geometry-optimized Lu2TiTl structure.

Computed properties:
density of states at the Fermi level	5.14	states/eV per cell
crystal system	tetragonal
ΔE_f	-0.05	eV/atom
spin magnetization	0.0	μB/f.u.
ΔE to the lowest computed polymorph	0.0000	eV per atom

Cell lengths 3.4699, 3.4699, 8.1682 Å; angles 90.00, 90.00, 90.00 degrees
Last column: nearest neighbours and their distance in Å.
Fractional positions:
Lu1 0.0000 0.0000 0.7595  4 Ti 3.14, 4 Tl 3.24, 4 Lu 3.47
Lu2 0.0000 0.0000 0.2405  4 Ti 3.14, 4 Tl 3.24, 4 Lu 3.47
Tl1 0.5000 0.5000 0.5000  8 Lu 3.24, 4 Tl 3.47
Ti1 0.5000 0.5000 0.0000  8 Lu 3.14, 4 Ti 3.47

No. 4
A plane-wave DFT calculation with GGA-PBE was carried out for a geometry-optimized TmLuTiTl structure.

Computed properties:
density of states at the Fermi level	3.74	states/eV per cell
crystal system	cubic
ΔE_f	0.01	eV/atom
spin magnetization	2.9	μB/f.u.

Cell lengths 5.1947, 5.1947, 5.1947 Å; angles 60.00, 60.00, 60.00 degrees
Last column: nearest neighbours and their distance in Å.
Fractional positions:
Lu1 0.0000 0.0000 0.0000  4 Tl 3.18, 4 Ti 3.18
Ti1 0.7500 0.7500 0.7500  4 Tm 3.18, 4 Lu 3.18
Tl1 0.2500 0.2500 0.2500  4 Tm 3.18, 4 Lu 3.18
Tm1 0.5000 0.5000 0.5000  4 Ti 3.18, 4 Tl 3.18

Q: What is the ΔE_f in the fourth record?
A: 0.01 eV/atom

Q: What is the formula in the first record?
A: Lu2TiTl

Q: Which value of spin magnetization does entry 1 give?
A: 0.0 μB/f.u.

Q: Which value of ΔE_f does entry 2 give?
A: -0.03 eV/atom